PmMg2Au: relaxed, PBE.

- Size of the total moment: 0.01 μB/cell
- Energy: -3.29 eV per atom
- Calculated volume: 23.644 A^3/atom

Geometry as extended XYZ:
```
8
Lattice="2.2511 -5.1869 0.0000 2.2511 5.1869 0.0000 0.0000 0.0000 8.0999" Properties=species:S:1:pos:R:3 pbc="T T T"
Mg 2.2511 1.5262 7.6513
Mg 2.2511 -1.5262 3.6014
Mg 2.2511 -1.5262 0.4485
Mg 2.2511 1.5262 4.4985
Au 2.2511 2.7904 2.0250
Au 2.2511 -2.7904 6.0749
Pm 2.2511 -4.5710 2.0250
Pm 2.2511 4.5710 6.0749
```

---

NaTl2Cd: relaxed, PBE.

- E above lowest polymorph: 10 meV/atom
- Energy: -1.80 eV per atom
- Calculated volume: 26.869 A^3/atom

Geometry as extended XYZ:
```
16
Lattice="6.9686 0.0000 0.0000 0.0000 7.1305 0.0000 0.0000 0.0000 8.6518" Properties=species:S:1:pos:R:3 pbc="T T T"
Tl 0.0000 3.5651 2.1732
Tl 3.4845 3.5653 2.1527
Tl 0.0000 3.5654 6.4786
Tl 0.0000 0.0000 6.4786
Tl 3.4846 0.0000 2.1527
Tl 3.4840 3.5652 6.4990
Tl 0.0000 0.0000 2.1732
Tl 3.4840 0.0000 6.4991
Na 5.2144 5.3479 4.3271
Na 5.2385 5.3479 0.0012
Na 1.7301 1.7826 8.6506
Na 1.7542 1.7826 4.3246
Cd 1.7487 5.3479 4.3255
Cd 1.7356 5.3479 0.0000
Cd 5.2198 1.7826 4.3262
Cd 5.2330 1.7826 0.0000
```

---

> What is the energy in the second record?

-1.80 eV per atom

---

> Among the records above, which one has the highest calculated volume?

NaTl2Cd

---

> Among the records above, which one has the lowest calculated volume?

PmMg2Au

---

Copy entry 2 word for word.
NaTl2Cd: relaxed, PBE.

- E above lowest polymorph: 10 meV/atom
- Energy: -1.80 eV per atom
- Calculated volume: 26.869 A^3/atom

Geometry as extended XYZ:
```
16
Lattice="6.9686 0.0000 0.0000 0.0000 7.1305 0.0000 0.0000 0.0000 8.6518" Properties=species:S:1:pos:R:3 pbc="T T T"
Tl 0.0000 3.5651 2.1732
Tl 3.4845 3.5653 2.1527
Tl 0.0000 3.5654 6.4786
Tl 0.0000 0.0000 6.4786
Tl 3.4846 0.0000 2.1527
Tl 3.4840 3.5652 6.4990
Tl 0.0000 0.0000 2.1732
Tl 3.4840 0.0000 6.4991
Na 5.2144 5.3479 4.3271
Na 5.2385 5.3479 0.0012
Na 1.7301 1.7826 8.6506
Na 1.7542 1.7826 4.3246
Cd 1.7487 5.3479 4.3255
Cd 1.7356 5.3479 0.0000
Cd 5.2198 1.7826 4.3262
Cd 5.2330 1.7826 0.0000
```